[1]
# CeHo4Bi2 (PBE-GGA, optimized geometry)
# - Formation enthalpy at 0 K: -0.343 eV per atom
# - Energy: -4.916 eV per atom
data_CeHo4Bi2
_space_group_name_H-M_alt 'P 1 21/m 1'
_space_group_IT_number 11
_cell_length_a 8.0181
_cell_length_b 6.5685
_cell_length_c 8.8809
_cell_angle_alpha 90.00
_cell_angle_beta 114.28
_cell_angle_gamma 90.00
loop_
_space_group_symop_operation_xyz
'x,y,z'
'-x,-y,-z'
'-x,y+1/2,-z'
'x,-y+1/2,z'
loop_
_atom_site_label
_atom_site_fract_x
_atom_site_fract_y
_atom_site_fract_z
Ce1 0.1066 0.2500 0.3610
Ho1 0.1939 0.7500 0.0782
Ho2 0.3382 0.0044 0.7871
Ho3 0.4697 0.7500 0.5123
Bi1 0.0531 0.7500 0.3681
Bi2 0.2687 0.2500 0.0832

***

[2]
# CeHo5Bi5 (PBE-GGA, optimized geometry)
# - Formation enthalpy at 0 K: -0.625 eV per atom
# - Energy: -5.010 eV per atom
data_CeHo5Bi5
_space_group_name_H-M_alt 'C 1 2/m 1'
_space_group_IT_number 12
_cell_length_a 13.9404
_cell_length_b 6.2962
_cell_length_c 8.8470
_cell_angle_alpha 90.00
_cell_angle_beta 108.19
_cell_angle_gamma 90.00
loop_
_space_group_symop_operation_xyz
'x,y,z'
'-x,-y,-z'
'-x,y,-z'
'x,-y,z'
'x+1/2,y+1/2,z'
'-x+1/2,-y+1/2,-z'
'-x+1/2,y+1/2,-z'
'x+1/2,-y+1/2,z'
loop_
_atom_site_label
_atom_site_fract_x
_atom_site_fract_y
_atom_site_fract_z
Ce1 0.0000 0.0000 0.0000
Ho1 0.0000 0.0000 0.5000
Ho2 0.1606 0.5000 0.3370
Ho3 0.1650 0.5000 0.8296
Bi1 0.0000 0.5000 0.0000
Bi2 0.1689 0.0000 0.3397
Bi3 0.1718 0.0000 0.8288

***

[3]
# CeHoBi2 (PBE-GGA, optimized geometry)
# - Formation enthalpy at 0 K: -0.703 eV per atom
# - Energy: -5.271 eV per atom
# - Energy relative to the lowest polymorph listed for this composition: 112 meV/atom
data_CeHoBi2
_space_group_name_H-M_alt 'R 3 m'
_space_group_IT_number 160
_space_group_name_Hall 'R 3 -2"'
_cell_length_a 4.5004
_cell_length_b 4.5004
_cell_length_c 23.0576
_cell_angle_alpha 90.00
_cell_angle_beta 90.00
_cell_angle_gamma 120.00
loop_
_atom_site_label
_atom_site_fract_x
_atom_site_fract_y
_atom_site_fract_z
Ce1 0.0000 0.0000 0.0000
Ho1 0.0000 0.0000 0.1712
Bi1 0.0000 0.0000 0.4198
Bi2 0.0000 0.0000 0.5846

***

[4]
# CeHo5Bi6 (PBE-GGA, optimized geometry)
# - Formation enthalpy at 0 K: -0.829 eV per atom
# - Energy: -5.171 eV per atom
data_CeHo5Bi6
_space_group_name_H-M_alt 'C 1 2/m 1'
_space_group_IT_number 12
_cell_length_a 7.7658
_cell_length_b 13.4593
_cell_length_c 7.7730
_cell_angle_alpha 90.00
_cell_angle_beta 109.50
_cell_angle_gamma 90.00
loop_
_space_group_symop_operation_xyz
'x,y,z'
'-x,-y,-z'
'-x,y,-z'
'x,-y,z'
'x+1/2,y+1/2,z'
'-x+1/2,-y+1/2,-z'
'-x+1/2,y+1/2,-z'
'x+1/2,-y+1/2,z'
loop_
_atom_site_label
_atom_site_fract_x
_atom_site_fract_y
_atom_site_fract_z
Ce1 0.0000 0.0000 0.0000
Ho1 0.0000 0.1647 0.5000
Ho2 0.0000 0.3328 0.0000
Ho3 0.0000 0.5000 0.5000
Bi1 0.2461 0.5000 0.2508
Bi2 0.2469 0.3314 0.7468

***

[5]
# Ce3Ho5Bi12 (PBE-GGA, optimized geometry)
# - Formation enthalpy at 0 K: -0.200 eV per atom
# - Energy: -4.563 eV per atom
data_Ce3Ho5Bi12
_space_group_name_H-M_alt 'I a -3 d'
_space_group_IT_number 230
_space_group_name_Hall '-I 4bd 2c 3'
_cell_length_a 18.3836
_cell_length_b 18.3836
_cell_length_c 18.3836
_cell_angle_alpha 90.00
_cell_angle_beta 90.00
_cell_angle_gamma 90.00
loop_
_atom_site_label
_atom_site_fract_x
_atom_site_fract_y
_atom_site_fract_z
Ce1 0.0000 0.2500 0.1250
Ho1 0.0000 0.0000 0.0000
Ho2 0.0000 0.2500 0.3750
Bi1 0.0192 0.0818 0.6540

***

[6]
# CeHoBi2 (PBE-GGA, optimized geometry)
# - Formation enthalpy at 0 K: -0.611 eV per atom
# - Energy: -5.179 eV per atom
# - Energy relative to the lowest polymorph listed for this composition: 205 meV/atom
data_CeHoBi2
_space_group_name_H-M_alt 'P 4/m m m'
_space_group_IT_number 123
_space_group_name_Hall '-P 4 2'
_cell_length_a 5.4636
_cell_length_b 5.4636
_cell_length_c 3.9921
_cell_angle_alpha 90.00
_cell_angle_beta 90.00
_cell_angle_gamma 90.00
loop_
_atom_site_label
_atom_site_fract_x
_atom_site_fract_y
_atom_site_fract_z
Ce1 0.0000 0.0000 0.0000
Ho1 0.5000 0.5000 0.0000
Bi1 0.0000 0.5000 0.5000

***

[7]
# LaCeHo2Bi4 (PBE-GGA, optimized geometry)
# - Formation enthalpy at 0 K: -0.879 eV per atom
# - Energy: -5.321 eV per atom
data_LaCeHo2Bi4
_space_group_name_H-M_alt 'P 1 2/m 1'
_space_group_IT_number 10
_cell_length_a 7.8731
_cell_length_b 4.5682
_cell_length_c 7.9130
_cell_angle_alpha 90.00
_cell_angle_beta 109.54
_cell_angle_gamma 90.00
loop_
_space_group_symop_operation_xyz
'x,y,z'
'-x,-y,-z'
'-x,y,-z'
'x,-y,z'
loop_
_atom_site_label
_atom_site_fract_x
_atom_site_fract_y
_atom_site_fract_z
La1 0.0000 0.0000 0.0000
Ce1 0.0000 0.5000 0.5000
Ho1 0.5000 0.0000 0.5000
Ho2 0.5000 0.5000 0.0000
Bi1 0.2599 0.0000 0.7505
Bi2 0.2616 0.5000 0.2569

***

[8]
# La2CeHoBi4 (PBE-GGA, optimized geometry)
# - Formation enthalpy at 0 K: -0.932 eV per atom
# - Energy: -5.418 eV per atom
data_La2CeHoBi4
_space_group_name_H-M_alt 'P 1 2/m 1'
_space_group_IT_number 10
_cell_length_a 7.9941
_cell_length_b 4.6245
_cell_length_c 8.0027
_cell_angle_alpha 90.00
_cell_angle_beta 109.47
_cell_angle_gamma 90.00
loop_
_space_group_symop_operation_xyz
'x,y,z'
'-x,-y,-z'
'-x,y,-z'
'x,-y,z'
loop_
_atom_site_label
_atom_site_fract_x
_atom_site_fract_y
_atom_site_fract_z
La1 0.0000 0.0000 0.0000
La2 0.5000 0.5000 0.0000
Ce1 0.0000 0.5000 0.5000
Ho1 0.5000 0.0000 0.5000
Bi1 0.2501 0.0000 0.7406
Bi2 0.2568 0.5000 0.2617

***

[9]
# CeHoMgBi (PBE-GGA, optimized geometry)
# - Formation enthalpy at 0 K: -0.256 eV per atom
# - Energy: -4.253 eV per atom
data_CeHoMgBi
_space_group_name_H-M_alt 'F -4 3 m'
_space_group_IT_number 216
_space_group_name_Hall 'F -4 2 3'
_cell_length_a 7.7022
_cell_length_b 7.7022
_cell_length_c 7.7022
_cell_angle_alpha 90.00
_cell_angle_beta 90.00
_cell_angle_gamma 90.00
loop_
_atom_site_label
_atom_site_fract_x
_atom_site_fract_y
_atom_site_fract_z
Ce1 0.0000 0.0000 0.0000
Ho1 0.0000 0.0000 0.5000
Mg1 0.2500 0.2500 0.2500
Bi1 0.2500 0.2500 0.7500

***

[10]
# Ce4Ho2Bi3N2 (PBE-GGA, optimized geometry)
# - Energy: -6.516 eV per atom
# - Formation energy without anion corrections: -0.9536 eV/atom
data_Ce4Ho2Bi3N2
_space_group_name_H-M_alt 'I 4/m m m'
_space_group_IT_number 139
_space_group_name_Hall '-I 4 2'
_cell_length_a 4.7052
_cell_length_b 4.7052
_cell_length_c 26.6367
_cell_angle_alpha 90.00
_cell_angle_beta 90.00
_cell_angle_gamma 90.00
loop_
_atom_site_label
_atom_site_fract_x
_atom_site_fract_y
_atom_site_fract_z
Ce1 0.0000 0.5000 0.0873
Ho1 0.0000 0.0000 0.1935
Bi1 0.0000 0.0000 0.3156
Bi2 0.0000 0.0000 0.5000
N1 0.0000 0.0000 0.1095

***

[11]
# Ce2NdHoBi5 (PBE-GGA, optimized geometry)
# - Formation enthalpy at 0 K: 0.008 eV per atom
# - Energy: -4.505 eV per atom
data_Ce2NdHoBi5
_space_group_name_H-M_alt 'P 4/m m m'
_space_group_IT_number 123
_space_group_name_Hall '-P 4 2'
_cell_length_a 5.5979
_cell_length_b 5.5979
_cell_length_c 11.8922
_cell_angle_alpha 90.00
_cell_angle_beta 90.00
_cell_angle_gamma 90.00
loop_
_atom_site_label
_atom_site_fract_x
_atom_site_fract_y
_atom_site_fract_z
Ce1 0.0000 0.0000 0.2162
Nd1 0.5000 0.5000 0.0000
Ho1 0.5000 0.5000 0.5000
Bi1 0.0000 0.0000 0.5000
Bi2 0.0000 0.5000 0.0000
Bi3 0.5000 0.5000 0.2567

***

[12]
# CeNd2HoBi4 (PBE-GGA, optimized geometry)
# - Formation enthalpy at 0 K: -0.880 eV per atom
# - Energy: -5.327 eV per atom
data_CeNd2HoBi4
_space_group_name_H-M_alt 'P 1 2/m 1'
_space_group_IT_number 10
_cell_length_a 7.9077
_cell_length_b 4.5731
_cell_length_c 7.9207
_cell_angle_alpha 90.00
_cell_angle_beta 109.45
_cell_angle_gamma 90.00
loop_
_space_group_symop_operation_xyz
'x,y,z'
'-x,-y,-z'
'-x,y,-z'
'x,-y,z'
loop_
_atom_site_label
_atom_site_fract_x
_atom_site_fract_y
_atom_site_fract_z
Ce1 0.0000 0.0000 0.0000
Nd1 0.0000 0.5000 0.5000
Nd2 0.5000 0.0000 0.5000
Ho1 0.5000 0.5000 0.0000
Bi1 0.2515 0.5000 0.2450
Bi2 0.2555 0.0000 0.7577

***

[13]
# Ce3Nd2HoBi6 (PBE-GGA, optimized geometry)
# - Formation enthalpy at 0 K: -0.852 eV per atom
# - Energy: -5.452 eV per atom
data_Ce3Nd2HoBi6
_space_group_name_H-M_alt 'C 1 2/m 1'
_space_group_IT_number 12
_cell_length_a 7.9358
_cell_length_b 13.7476
_cell_length_c 7.9397
_cell_angle_alpha 90.00
_cell_angle_beta 109.49
_cell_angle_gamma 90.00
loop_
_space_group_symop_operation_xyz
'x,y,z'
'-x,-y,-z'
'-x,y,-z'
'x,-y,z'
'x+1/2,y+1/2,z'
'-x+1/2,-y+1/2,-z'
'-x+1/2,y+1/2,-z'
'x+1/2,-y+1/2,z'
loop_
_atom_site_label
_atom_site_fract_x
_atom_site_fract_y
_atom_site_fract_z
Ce1 0.0000 0.0000 0.0000
Ce2 0.0000 0.3309 0.0000
Nd1 0.0000 0.1657 0.5000
Ho1 0.0000 0.5000 0.5000
Bi1 0.2438 0.5000 0.2492
Bi2 0.2463 0.3360 0.7480

***

[14]
# Ce2NdHoBi4 (PBE-GGA, optimized geometry)
# - Formation enthalpy at 0 K: -0.840 eV per atom
# - Energy: -5.432 eV per atom
data_Ce2NdHoBi4
_space_group_name_H-M_alt 'P 1 2/m 1'
_space_group_IT_number 10
_cell_length_a 7.9085
_cell_length_b 4.5664
_cell_length_c 7.9201
_cell_angle_alpha 90.00
_cell_angle_beta 109.44
_cell_angle_gamma 90.00
loop_
_space_group_symop_operation_xyz
'x,y,z'
'-x,-y,-z'
'-x,y,-z'
'x,-y,z'
loop_
_atom_site_label
_atom_site_fract_x
_atom_site_fract_y
_atom_site_fract_z
Ce1 0.0000 0.0000 0.0000
Ce2 0.5000 0.5000 0.0000
Nd1 0.0000 0.5000 0.5000
Ho1 0.5000 0.0000 0.5000
Bi1 0.2543 0.0000 0.7489
Bi2 0.2561 0.5000 0.2546

***

[15]
# CeHoBiPb (PBE-GGA, optimized geometry)
# - Formation enthalpy at 0 K: -0.451 eV per atom
# - Energy: -4.976 eV per atom
data_CeHoBiPb
_space_group_name_H-M_alt 'F -4 3 m'
_space_group_IT_number 216
_space_group_name_Hall 'F -4 2 3'
_cell_length_a 7.7914
_cell_length_b 7.7914
_cell_length_c 7.7914
_cell_angle_alpha 90.00
_cell_angle_beta 90.00
_cell_angle_gamma 90.00
loop_
_atom_site_label
_atom_site_fract_x
_atom_site_fract_y
_atom_site_fract_z
Ce1 0.0000 0.0000 0.0000
Ho1 0.0000 0.0000 0.5000
Bi1 0.2500 0.2500 0.7500
Pb1 0.2500 0.2500 0.2500

***

[16]
# CePm2HoBi4 (PBE-GGA, optimized geometry)
# - Formation enthalpy at 0 K: -0.876 eV per atom
# - Energy: -5.318 eV per atom
data_CePm2HoBi4
_space_group_name_H-M_alt 'P 1 2/m 1'
_space_group_IT_number 10
_cell_length_a 7.8815
_cell_length_b 4.5578
_cell_length_c 7.8940
_cell_angle_alpha 90.00
_cell_angle_beta 109.45
_cell_angle_gamma 90.00
loop_
_space_group_symop_operation_xyz
'x,y,z'
'-x,-y,-z'
'-x,y,-z'
'x,-y,z'
loop_
_atom_site_label
_atom_site_fract_x
_atom_site_fract_y
_atom_site_fract_z
Ce1 0.0000 0.0000 0.0000
Pm1 0.0000 0.5000 0.5000
Pm2 0.5000 0.0000 0.5000
Ho1 0.5000 0.5000 0.0000
Bi1 0.2522 0.5000 0.2469
Bi2 0.2548 0.0000 0.7557

***

[17]
# CePm2HoBi5 (PBE-GGA, optimized geometry)
# - Formation enthalpy at 0 K: -0.030 eV per atom
# - Energy: -4.409 eV per atom
data_CePm2HoBi5
_space_group_name_H-M_alt 'P 4/m m m'
_space_group_IT_number 123
_space_group_name_Hall '-P 4 2'
_cell_length_a 5.5683
_cell_length_b 5.5683
_cell_length_c 11.8647
_cell_angle_alpha 90.00
_cell_angle_beta 90.00
_cell_angle_gamma 90.00
loop_
_atom_site_label
_atom_site_fract_x
_atom_site_fract_y
_atom_site_fract_z
Ce1 0.0000 0.0000 0.0000
Pm1 0.5000 0.5000 0.2244
Ho1 0.0000 0.0000 0.5000
Bi1 0.0000 0.0000 0.2552
Bi2 0.0000 0.5000 0.0000
Bi3 0.5000 0.5000 0.5000

***

[18]
# CePmHo2Bi4 (PBE-GGA, optimized geometry)
# - Formation enthalpy at 0 K: -0.852 eV per atom
# - Energy: -5.272 eV per atom
data_CePmHo2Bi4
_space_group_name_H-M_alt 'P 1 2/m 1'
_space_group_IT_number 10
_cell_length_a 7.8278
_cell_length_b 4.5328
_cell_length_c 7.8466
_cell_angle_alpha 90.00
_cell_angle_beta 109.49
_cell_angle_gamma 90.00
loop_
_space_group_symop_operation_xyz
'x,y,z'
'-x,-y,-z'
'-x,y,-z'
'x,-y,z'
loop_
_atom_site_label
_atom_site_fract_x
_atom_site_fract_y
_atom_site_fract_z
Ce1 0.0000 0.0000 0.0000
Pm1 0.0000 0.5000 0.5000
Ho1 0.5000 0.0000 0.5000
Ho2 0.5000 0.5000 0.0000
Bi1 0.2576 0.0000 0.7530
Bi2 0.2578 0.5000 0.2525

***

[19]
# CePrHo2Bi4 (PBE-GGA, optimized geometry)
# - Formation enthalpy at 0 K: -0.854 eV per atom
# - Energy: -5.278 eV per atom
data_CePrHo2Bi4
_space_group_name_H-M_alt 'P 1 2/m 1'
_space_group_IT_number 10
_cell_length_a 7.8537
_cell_length_b 4.5444
_cell_length_c 7.8759
_cell_angle_alpha 90.00
_cell_angle_beta 109.46
_cell_angle_gamma 90.00
loop_
_space_group_symop_operation_xyz
'x,y,z'
'-x,-y,-z'
'-x,y,-z'
'x,-y,z'
loop_
_atom_site_label
_atom_site_fract_x
_atom_site_fract_y
_atom_site_fract_z
Ce1 0.0000 0.0000 0.0000
Pr1 0.0000 0.5000 0.5000
Ho1 0.5000 0.0000 0.5000
Ho2 0.5000 0.5000 0.0000
Bi1 0.2591 0.5000 0.2512
Bi2 0.2602 0.0000 0.7556

***

[20]
# CePr2HoBi4 (PBE-GGA, optimized geometry)
# - Formation enthalpy at 0 K: -0.885 eV per atom
# - Energy: -5.334 eV per atom
data_CePr2HoBi4
_space_group_name_H-M_alt 'P 1 2/m 1'
_space_group_IT_number 10
_cell_length_a 7.9352
_cell_length_b 4.5894
_cell_length_c 7.9483
_cell_angle_alpha 90.00
_cell_angle_beta 109.45
_cell_angle_gamma 90.00
loop_
_space_group_symop_operation_xyz
'x,y,z'
'-x,-y,-z'
'-x,y,-z'
'x,-y,z'
loop_
_atom_site_label
_atom_site_fract_x
_atom_site_fract_y
_atom_site_fract_z
Ce1 0.0000 0.0000 0.0000
Pr1 0.0000 0.5000 0.5000
Pr2 0.5000 0.0000 0.5000
Ho1 0.5000 0.5000 0.0000
Bi1 0.2508 0.5000 0.2429
Bi2 0.2561 0.0000 0.7597

***

[21]
# Ce2PrHoBi5 (PBE-GGA, optimized geometry)
# - Formation enthalpy at 0 K: -0.147 eV per atom
# - Energy: -4.662 eV per atom
data_Ce2PrHoBi5
_space_group_name_H-M_alt 'P 4/m m m'
_space_group_IT_number 123
_space_group_name_Hall '-P 4 2'
_cell_length_a 5.4330
_cell_length_b 5.4330
_cell_length_c 12.0566
_cell_angle_alpha 90.00
_cell_angle_beta 90.00
_cell_angle_gamma 90.00
loop_
_atom_site_label
_atom_site_fract_x
_atom_site_fract_y
_atom_site_fract_z
Ce1 0.0000 0.0000 0.2186
Pr1 0.5000 0.5000 0.5000
Ho1 0.5000 0.5000 0.0000
Bi1 0.0000 0.0000 0.5000
Bi2 0.0000 0.5000 0.0000
Bi3 0.5000 0.5000 0.2487